First-principles (GGA+U) data for a relaxed structure of SmAgWO5, as listed in Alexandria via LeMat-Bulk.

```
SmAgWO5
1.0
4.4501 -4.6170 0.0000
4.4501 4.6170 0.0000
-4.2541 0.0000 7.5857
Sm Ag W O
2 2 2 10
Cartesian
0.0000 0.0000 0.0000 Sm
-2.1270 0.0000 3.7929 Sm
1.2596 1.8760 5.6893 Ag
3.3866 -1.8760 1.8964 Ag
3.3866 1.2537 1.8964 W
1.2596 -1.2537 5.6893 W
1.2596 3.9952 5.6893 O
2.6563 2.3145 3.1667 O
4.1169 2.3145 0.6262 O
2.1057 0.1834 1.1535 O
-0.0214 -0.1834 4.9464 O
4.6676 0.1834 2.6393 O
2.5406 -0.1834 6.4322 O
0.5293 -2.3145 6.9595 O
1.9899 -2.3145 4.4190 O
3.3866 -3.9952 1.8964 O
```

## Properties
* ρ: 5.56 Mg/m³
* E: -111.42 eV/cell
* spin magnetization: 0.000 μB per cell
* space group: C2/c (15)

=====

First-principles (GGA+U) data for a relaxed structure of SmAgW2O8, as listed in Alexandria via LeMat-Bulk.

```
SmAgW2O8
1.0
5.1111 -5.5155 0.0000
5.1111 5.5155 0.0000
-4.4952 0.0000 5.8548
Sm Ag W O
2 2 4 16
Cartesian
5.1111 3.3125 0.0000 Sm
5.1111 -3.3125 0.0000 Sm
-0.3820 0.0000 3.0301 Ag
6.1091 0.0000 2.8248 Ag
2.8070 0.0000 0.1625 W
2.8635 1.7811 2.9274 W
2.8635 -1.7811 2.9274 W
2.9200 0.0000 5.6924 W
-3.2925 0.0000 5.0285 O
1.7228 1.3652 1.4086 O
1.7059 2.8858 3.7724 O
-0.7541 1.4032 5.3228 O
4.0211 2.8858 2.0824 O
1.7228 -1.3652 1.4086 O
-0.7541 -1.4032 5.3228 O
1.9393 0.0000 3.8616 O
3.7877 0.0000 1.9933 O
6.4812 1.4032 0.5320 O
4.0042 1.3652 4.4462 O
1.7059 -2.8858 3.7724 O
6.4812 -1.4032 0.5320 O
4.0211 -2.8858 2.0824 O
4.0042 -1.3652 4.4462 O
9.0195 0.0000 0.8263 O
```

## Properties
* ρ: 7.58 Mg/m³
* E: -174.21 eV/cell
* spin magnetization: 0.000 μB per cell
* space group: C2/m (12)

=====

First-principles (GGA+U) data for a relaxed structure of SmAg2WO6, as listed in Alexandria via LeMat-Bulk.

```
SmAg2WO6
1.0
5.7459 0.0000 0.0000
2.8725 4.9787 0.0000
2.8712 -1.6538 4.9100
Sm Ag W O
1 2 1 6
Cartesian
0.0000 0.0000 0.0000 Sm
5.7415 0.0028 3.6343 Ag
5.7428 3.3209 0.7580 Ag
2.8713 1.6600 2.4295 W
4.4234 1.8439 3.7046 O
3.4950 3.1629 1.4162 O
3.8622 0.3796 1.4097 O
7.6833 2.9152 3.7025 O
7.9975 0.2219 3.6918 O
7.0112 1.4547 1.4075 O
```

## Properties
* ρ: 7.64 Mg/m³
* E: -63.74 eV/cell
* spin magnetization: 1.015 μB per cell
* space group: P1 (1)

=====

> The lowest ρ belongs to which entry?

SmAgWO5